(1)
This record from Alexandria via LeMat-Bulk describes a geometry-optimized MnSeBr structure. The functional is PBE.

Values from the calculation:
Density of states at the Fermi level: 0.53 states/eV/f.u.
Volume: 31.2 A^3/atom
Total moment: 4.005 μB per formula unit
Calculated total energy: -5.25 eV per atom

abc: 10.3208 10.3208 3.5184
angles: 90.00 90.00 90.00
Closest atoms and distances in Å follow each position.
Space group P4_2/m (No. 84)
Asymmetric unit:
Mn1 0.1896 0.2151 0.0000 [4 per cell]  3 Se 2.44-2.59, 2 Br 2.52
Se1 0.0601 0.7576 0.0000 [4 per cell]  3 Mn 2.44-2.59
Br1 0.2251 0.3861 0.5000 [4 per cell]  2 Mn 2.52

(2)
This record from Alexandria via LeMat-Bulk describes a geometry-optimized MnSeBr2 structure. The functional is PBE.

Values from the calculation:
Density of states at the Fermi level: 3.50 states/eV/f.u.
Volume: 32.0 A^3/atom
Total moment: 5.515 μB per formula unit
Excess energy over the best structure of this formula in the dataset: 0.2999 eV/atom
Calculated total energy: -4.09 eV per atom

abc: 3.5846 3.5846 34.5079
angles: 90.00 90.00 120.00
Closest atoms and distances in Å follow each position.
Space group R-3m (No. 166, hexagonal axes)
Asymmetric unit:
Mn1 0.0000 0.0000 0.0000 [3 per cell]  6 Br 2.64
Se1 0.0000 0.0000 0.5000 [3 per cell]  6 Se 3.58
Br1 0.0000 0.0000 0.2859 [6 per cell]  3 Mn 2.64

(3)
This record from Alexandria via LeMat-Bulk describes a geometry-optimized Mn2SeBr structure. The functional is PBE.

Values from the calculation:
Density of states at the Fermi level: 4.61 states/eV/f.u.
Volume: 20.6 A^3/atom
Total moment: 9.129 μB per formula unit
Excess energy over the best structure of this formula in the dataset: 0.8444 eV/atom
Calculated total energy: -5.23 eV per atom

abc: 6.9046 6.9046 6.9046
angles: 90.00 90.00 90.00
Closest atoms and distances in Å follow each position.
Space group F-43m (No. 216)
Asymmetric unit:
Mn1 0.0000 0.0000 0.0000 [4 per cell]  4 Se 2.99, 4 Mn 2.99
Mn2 0.2500 0.2500 0.2500 [4 per cell]  4 Mn 2.99, 4 Br 2.99
Se1 0.2500 0.2500 0.7500 [4 per cell]  4 Mn 2.99, 4 Br 2.99
Br1 0.0000 0.0000 0.5000 [4 per cell]  4 Mn 2.99, 4 Se 2.99

(4)
This record from Alexandria via LeMat-Bulk describes a geometry-optimized MnSeBr2 structure. The functional is PBE.

Values from the calculation:
Density of states at the Fermi level: 3.31 states/eV/f.u.
Volume: 27.1 A^3/atom
Total moment: 3.974 μB per formula unit
Excess energy over the best structure of this formula in the dataset: 0.3876 eV/atom
Calculated total energy: -4.01 eV per atom

abc: 3.1793 3.1793 10.7432
angles: 90.00 90.00 90.00
Closest atoms and distances in Å follow each position.
Space group P4mm (No. 99)
Asymmetric unit:
Mn1 0.0000 0.0000 0.0000 [1 per cell]  4 Se 2.68, 4 Br 2.88
Se1 0.5000 0.5000 0.1362 [1 per cell]  4 Mn 2.68
Br1 0.0000 0.0000 0.4766 [1 per cell]  4 Br 3.18
Br2 0.5000 0.5000 0.8318 [1 per cell]  4 Mn 2.88, 4 Br 3.18